# CaCoAs2O6

A geometry-optimized CaCoAs2O6 structure (PBE with a Hubbard U, Alexandria).

**E**: -0.4497 Ry per atom

a b c (Å): 10.993 8.428 6.979
angles (deg): 90.00 120.84 90.00
Space group C2/c (No. 15)
Symmetry-distinct sites (fractional):
Ca: 0.000 0.177 0.250 (multiplicity 4)
Co: 0.000 0.215 0.750 (multiplicity 4)
As: 0.200 0.464 0.183 (multiplicity 8)
O: 0.109 0.288 0.058 (multiplicity 8)
O: 0.116 0.072 0.681 (multiplicity 8)
O: 0.169 0.420 0.444 (multiplicity 8)